(1)
La6Cu2RuBr3: optimized geometry, PBE.

The structure in extended XYZ format:
```
12
Lattice="9.943 -2.111 0.000 9.943 2.111 0.000 -3.401 0.000 8.589" Properties=species:S:1:pos:R:3 pbc="T T T"
La -0.564 0.000 1.850
La 5.066 0.000 3.693
La 3.911 0.000 7.657
La 12.576 0.000 0.932
La 11.420 0.000 4.896
La 17.050 0.000 6.740
Cu 2.246 0.000 3.017
Cu 14.240 0.000 5.572
Ru 9.943 0.000 0.000
Br 0.495 0.000 7.190
Br 8.243 0.000 4.295
Br 15.991 0.000 1.399
```

Results
The final energy is -5.1358 eV per atom. As for the crystal system: monoclinic. For the uncorrected formation energy, the calculation gives -924 kJ/mol of formula units. The value obtained for the magnetization is 0.00 μB per cell.

(2)
MnBe2Al: optimized geometry, PBE.

The structure in extended XYZ format:
```
4
Lattice="1.469 -1.967 0.000 1.469 1.967 0.000 0.000 0.000 7.578" Properties=species:S:1:pos:R:3 pbc="T T T"
Mn 0.000 0.000 0.000
Be 1.469 0.000 1.708
Be 1.469 0.000 5.870
Al 0.000 0.000 3.789
```

Results
The final energy is -4.8651 eV per atom. As for the crystal system: orthorhombic. The calculation puts the formation energy from the elements at 5.21 kcal/mol of atoms. The value obtained for the magnetization is 0.30 μB per cell.

(3)
CaYN2F: optimized geometry, PBE.

The structure in extended XYZ format:
```
5
Lattice="4.408 0.000 0.000 0.000 4.408 0.000 0.000 0.000 4.355" Properties=species:S:1:pos:R:3 pbc="T T T"
Ca 0.000 0.000 0.000
Y 2.204 2.204 2.178
N 0.000 2.204 2.178
N 2.204 0.000 2.178
F 2.204 2.204 0.000
```

Results
The final energy is -6.4639 eV per atom. For the energy above the most stable polymorph in this dataset, the calculation gives 0 meV/atom. As for the crystal system: tetragonal. For the uncorrected formation energy, the calculation gives -514 kJ/mol of formula units. The value obtained for the magnetization is 0.83 μB per cell.

(4)
Hf2HW: optimized geometry, PBE.

The structure in extended XYZ format:
```
8
Lattice="-3.176 3.176 3.189 3.176 -3.176 3.189 3.176 3.176 -3.189" Properties=species:S:1:pos:R:3 pbc="T T T"
Hf 4.763 1.039 -0.797
Hf 1.039 1.588 0.797
Hf -1.588 2.136 2.392
Hf 2.136 1.588 3.987
H 0.000 0.000 0.000
H 0.000 3.176 1.595
W 3.176 0.000 1.595
W 0.000 0.000 3.189
```

Results
The final energy is -8.7721 eV per atom. For the energy above the most stable polymorph in this dataset, the calculation gives 0 meV/atom. As for the crystal system: tetragonal. The value obtained for the magnetization is 0.00 μB per cell.

(5)
PmSc2Pd: optimized geometry, PBE.

The structure in extended XYZ format:
```
8
Lattice="2.338 -5.688 0.000 2.338 5.688 0.000 0.000 0.000 7.327" Properties=species:S:1:pos:R:3 pbc="T T T"
Pm 2.338 5.094 5.495
Pm 2.338 -5.094 1.832
Sc 2.338 1.733 3.950
Sc 2.338 1.733 7.040
Sc 2.338 -1.733 0.287
Sc 2.338 -1.733 3.377
Pd 2.338 3.391 1.832
Pd 2.338 -3.391 5.495
```

Results
The final energy is -6.0808 eV per atom. For the energy above the most stable polymorph in this dataset, the calculation gives 0 meV/atom. As for the crystal system: orthorhombic. The calculation puts the formation energy from the elements at -9.90 kcal/mol of atoms. The value obtained for the magnetization is 0.00 μB per cell.

(6)
Hg2PtSe: optimized geometry, PBE.

The structure in extended XYZ format:
```
4
Lattice="4.041 -3.962 0.000 4.041 3.962 0.000 -0.693 0.000 2.780" Properties=species:S:1:pos:R:3 pbc="T T T"
Hg 2.020 1.981 0.000
Hg 2.020 -1.981 0.000
Pt 0.000 0.000 0.000
Se 4.041 0.000 0.000
```

Results
The final energy is -2.2965 eV per atom. For the energy above the most stable polymorph in this dataset, the calculation gives 285 meV/atom. As for the crystal system: monoclinic. For the uncorrected formation energy, the calculation gives 91 kJ/mol of formula units. The value obtained for the magnetization is 0.00 μB per cell.

Please write out number 3 again, unchanged.
CaYN2F: optimized geometry, PBE.

The structure in extended XYZ format:
```
5
Lattice="4.408 0.000 0.000 0.000 4.408 0.000 0.000 0.000 4.355" Properties=species:S:1:pos:R:3 pbc="T T T"
Ca 0.000 0.000 0.000
Y 2.204 2.204 2.178
N 0.000 2.204 2.178
N 2.204 0.000 2.178
F 2.204 2.204 0.000
```

Results
The final energy is -6.4639 eV per atom. For the energy above the most stable polymorph in this dataset, the calculation gives 0 meV/atom. As for the crystal system: tetragonal. For the uncorrected formation energy, the calculation gives -514 kJ/mol of formula units. The value obtained for the magnetization is 0.83 μB per cell.

Question: Among the records above, which one has the lowest final energy?
Answer: Hf2HW

Question: magnetization of number 5 (PmSc2Pd)?
Answer: 0.00 μB per cell

Question: Look up the final energy of the fourth one.
Answer: -8.7721 eV per atom